1.
Here is a relaxed Ba8P5H crystal from Alexandria. Energies are from PBE-GGA.

It has space group I-4 (No. 82), with a = 9.808 Å, b = 9.808 Å, c = 9.863 Å, α = 90.00°, β = 90.00° and γ = 90.00°. The asymmetric unit holds Ba at (0.064, 0.309, 0.429), Ba at (0.069, 0.183, 0.811), P at (0.000, 0.000, 0.500), P at (0.129, 0.245, 0.123) and H at (0.000, 0.500, 0.750).

For the calculated density, the calculation gives 4391 kg/m³. The value obtained for the raw total energy is -4.206 eV/atom.

=====

2.
Here is a relaxed Nd2Dy4HoMg crystal from Alexandria. Energies are from PBE-GGA.

It has space group Pmmm (No. 47), with a = 4.977 Å, b = 4.988 Å, c = 10.134 Å, α = 90.00°, β = 90.00° and γ = 90.00°. The asymmetric unit holds Nd at (0.000, 0.000, 0.000), Nd at (0.500, 0.500, 0.500), Dy at (0.000, 0.500, 0.249), Dy at (0.500, 0.000, 0.250), Ho at (0.000, 0.000, 0.500) and Mg at (0.500, 0.500, 0.000).

For the calculated density, the calculation gives 7444 kg/m³. The formation enthalpy at 0 K comes out at 0.028 eV per atom. The value obtained for the raw total energy is -4.236 eV/atom.

=====

3.
Here is a relaxed PtSO5 crystal from Alexandria. Energies are from PBE-GGA.

It has space group Pnma (No. 62), with a = 10.995 Å, b = 5.667 Å, c = 6.707 Å, α = 90.00°, β = 90.00° and γ = 90.00°. The asymmetric unit holds Pt at (0.054, 0.250, 0.174), S at (0.156, 0.750, 0.489), O at (0.000, 0.000, 0.000), O at (0.115, 0.532, 0.392), O at (0.118, 0.750, 0.708) and O at (0.207, 0.250, 0.995).

For the calculated density, the calculation gives 4882 kg/m³. The value obtained for the raw total energy is -5.561 eV/atom. The value obtained for the uncorrected formation energy is -0.5672 eV/atom.

=====

4.
Here is a relaxed Sm3EuTc crystal from Alexandria. Energies are from PBE-GGA.

It has space group Pm-3m (No. 221), with a = 5.533 Å, b = 5.533 Å, c = 5.533 Å, α = 90.00°, β = 90.00° and γ = 90.00°. The asymmetric unit holds Sm at (0.000, 0.000, 0.500), Eu at (0.500, 0.500, 0.500) and Tc at (0.000, 0.000, 0.000).

For the calculated density, the calculation gives 6871 kg/m³. The formation enthalpy at 0 K comes out at 0.092 eV per atom. The value obtained for the raw total energy is -6.868 eV/atom.

=====

5.
Here is a relaxed BeZn crystal from Alexandria. Energies are from PBE-GGA.

It has space group Pnma (No. 62), with a = 8.304 Å, b = 3.683 Å, c = 6.933 Å, α = 90.00°, β = 90.00° and γ = 90.00°. The asymmetric unit holds Be at (0.021, 0.250, 0.079), Be at (0.163, 0.750, 0.124), Zn at (0.076, 0.250, 0.712) and Zn at (0.198, 0.250, 0.346).

For the calculated density, the calculation gives 4663 kg/m³. The formation enthalpy at 0 K comes out at 0.207 eV per atom. The value obtained for the raw total energy is -2.293 eV/atom.

=====

6.
Here is a relaxed FeAgIr crystal from Alexandria. Energies are from PBE-GGA.

It has space group Imm2 (No. 44), with a = 2.777 Å, b = 3.637 Å, c = 8.971 Å, α = 90.00°, β = 90.00° and γ = 90.00°. The asymmetric unit holds Fe at (0.000, 0.000, 0.000), Ag at (0.000, 0.000, 0.318) and Ir at (0.000, 0.000, 0.629).

For the calculated density, the calculation gives 13045 kg/m³. The formation enthalpy at 0 K comes out at 0.298 eV per atom. The value obtained for the raw total energy is -6.427 eV/atom. The calculation puts the energy relative to the lowest polymorph listed for this composition at 100.5 meV per atom.

=====

The lowest raw total energy belongs to which entry?
Sm3EuTc

=====

Which of these has the lowest raw total energy?
Sm3EuTc

=====

Look up the raw total energy of the first one.
-4.206 eV/atom